(1)
Tb6PmNdSm2: optimized geometry, GGA-PBE.

The structure in POSCAR format:
```
Tb6PmNdSm2
1.0
4.554 -7.574 0.000
4.554 7.574 0.000
-1.469 0.000 9.661
Tb Pm Nd Sm
12 2 2 4
Direct
0.024 0.573 0.184 Tb
0.121 0.743 0.557 Tb
0.257 0.879 0.943 Tb
0.295 0.506 0.379 Tb
0.427 0.976 0.316 Tb
0.494 0.705 0.121 Tb
0.506 0.295 0.879 Tb
0.573 0.024 0.684 Tb
0.705 0.494 0.621 Tb
0.743 0.121 0.057 Tb
0.879 0.257 0.443 Tb
0.976 0.427 0.816 Tb
0.406 0.594 0.750 Pm
0.594 0.406 0.250 Pm
0.020 0.980 0.250 Nd
0.980 0.020 0.750 Nd
0.193 0.295 0.043 Sm
0.295 0.193 0.543 Sm
0.705 0.807 0.457 Sm
0.807 0.705 0.957 Sm
```

Computed properties:
**DOS at the Fermi energy**: 1.527 states/eV/atom
**Calculated volume**: 33.3 Å³/atom
**Calculated formation energy**: 0.1199 eV/atom


(2)
TbPm2Nd4Sm: optimized geometry, GGA-PBE.

The structure in POSCAR format:
```
TbPm2Nd4Sm
1.0
5.164 0.000 0.000
0.000 5.172 0.000
-0.023 0.000 10.309
Tb Pm Nd Sm
1 2 4 1
Direct
0.000 0.000 0.000 Tb
0.000 0.000 0.500 Pm
0.500 0.500 0.000 Pm
0.000 0.500 0.249 Nd
0.000 0.500 0.751 Nd
0.500 0.000 0.249 Nd
0.500 0.000 0.751 Nd
0.500 0.500 0.500 Sm
```

Computed properties:
**DOS at the Fermi energy**: 1.433 states/eV/atom
**Calculated volume**: 34.4 Å³/atom
**Calculated formation energy**: 0.0118 eV/atom